Material: AgPt2
Method: DFT, PBE-GGA
State: optimized geometry

Values from the calculation:
Energy of formation from the pure elements   471 meV/atom
Calculated total energy   -4.51 eV per atom
Excess energy over the best structure of this formula in the dataset   0.478 eV/atom
Spin magnetization   0.004 μB/cell

Lattice parameters (Å, degrees): 5.183 5.183 5.183 104.06 104.06 120.95
Atoms (fractional coordinates):
Ag (0.750, 0.750, 0.000)
Ag (0.250, 0.250, 0.000)
Pt (0.143, 0.357, 0.500)
Pt (0.357, 0.857, 0.215)
Pt (0.643, 0.143, 0.785)
Pt (0.857, 0.643, 0.500)

Material: KPtSe2
Method: DFT, PBE-GGA
State: optimized geometry

Values from the calculation:
Calculated total energy   -3.90 eV per atom
E_form (uncorrected)   -375 meV/atom
Spin magnetization   0.000 μB/cell

Lattice parameters (Å, degrees): 9.226 9.226 9.226 24.35 24.35 24.35
Atoms (fractional coordinates):
K (0.000, 0.000, 0.000)
Se (0.880, 0.880, 0.880)
Se (0.120, 0.120, 0.120)
Pt (0.500, 0.500, 0.500)

Material: Nd2MgAs
Method: DFT, PBE-GGA
State: optimized geometry

Values from the calculation:
Energy of formation from the pure elements   -386 meV/atom
Calculated total energy   -4.33 eV per atom
Excess energy over the best structure of this formula in the dataset   0.257 eV/atom
Spin magnetization   0.002 μB/cell

Lattice parameters (Å, degrees): 3.973 3.973 10.689 79.29 79.29 60.00
Atoms (fractional coordinates):
As (0.500, 0.500, 0.500)
Nd (0.111, 0.111, 0.667)
Nd (0.889, 0.889, 0.333)
Mg (0.000, 0.000, 0.000)